VASP calculation (PBEsol) on BaGe12Pt4 after structural relaxation.

- VASP energy (eV/atom) = -5.658
- formation enthalpy at 0 K (eV per atom) = -0.41
- calculated density (g cm⁻³) = 9.1
- total magnetic moment (μB per formula unit) = 0.00

a = 8.6685 Å, b = 8.6685 Å, c = 8.6685 Å
α = 90.00°, β = 90.00°, γ = 90.00°
Space group Im-3 (No. 204)
One atom of each set of equivalent atoms:
1 Ba 0.0000 0.0000 0.0000 x2
2 Ge 0.0000 0.3559 0.1525 x24
3 Pt 0.2500 0.2500 0.2500 x8



VASP calculation (PBEsol) on BaGePt2 after structural relaxation.

- VASP energy (eV/atom) = -5.827
- formation enthalpy at 0 K (eV per atom) = -0.57
- calculated density (g cm⁻³) = 9.1
- total magnetic moment (μB per formula unit) = 0.00

a = 5.1996 Å, b = 5.1996 Å, c = 16.1323 Å
α = 90.00°, β = 90.00°, γ = 90.00°
Space group I-42d (No. 122)
One atom of each set of equivalent atoms:
1 Ba 0.0000 0.0000 0.0000 x4
2 Ge 0.0000 0.0000 0.5000 x4
3 Pt 0.0229 0.7500 0.6250 x8